[1]
{"formula": "La3SnC", "functional": "PBE-GGA", "state": "optimized geometry", "cell": [[6.128, 0.000, 0.000], [0.000, 15.613, 0.000], [0.000, 0.000, 5.951]], "species": ["La", "La", "La", "La", "La", "La", "La", "La", "La", "La", "La", "La", "Sn", "Sn", "Sn", "Sn", "C", "C", "C", "C"], "frac_coords": [[0.003, 0.103, 0.001], [0.003, 0.250, 0.487], [0.003, 0.397, 0.001], [0.497, 0.603, 0.501], [0.497, 0.750, 0.987], [0.497, 0.897, 0.501], [0.503, 0.103, 0.499], [0.503, 0.250, 0.013], [0.503, 0.397, 0.499], [0.997, 0.603, 0.999], [0.997, 0.750, 0.513], [0.997, 0.897, 0.999], [0.000, 0.000, 0.500], [0.000, 0.500, 0.500], [0.500, 0.000, 0.000], [0.500, 0.500, 0.000], [0.096, 0.750, 0.939], [0.404, 0.250, 0.439], [0.596, 0.750, 0.561], [0.904, 0.250, 0.061]], "ef_ev_per_atom": -0.340, "final_energy_ev_per_fu": -29.7, "space_group": "Pnma (62)", "crystal_system": "orthorhombic"}


[2]
{"formula": "TbSmY2Ho2", "functional": "PBE-GGA", "state": "optimized geometry", "cell": [[6.570, 0.000, 0.000], [0.000, 17.744, 0.000], [0.000, 0.000, 3.395]], "species": ["Tb", "Tb", "Sm", "Sm", "Y", "Y", "Y", "Y", "Ho", "Ho", "Ho", "Ho"], "frac_coords": [[0.000, 0.000, 0.000], [0.500, 0.500, 0.500], [0.000, 0.500, 0.000], [0.500, 0.000, 0.500], [0.231, 0.184, 0.000], [0.269, 0.684, 0.500], [0.731, 0.316, 0.500], [0.769, 0.816, 0.000], [0.230, 0.352, 0.500], [0.270, 0.852, 0.000], [0.730, 0.148, 0.000], [0.770, 0.648, 0.500]], "ef_ev_per_atom": 0.269, "final_energy_ev_per_fu": -29.8, "space_group": "Pnnm (58)", "crystal_system": "orthorhombic"}


[3]
{"formula": "LaInSnHg", "functional": "PBE-GGA", "state": "optimized geometry", "cell": [[0.000, 3.806, 3.806], [3.806, 0.000, 3.806], [3.806, 3.806, 0.000]], "species": ["La", "In", "Sn", "Hg"], "frac_coords": [[0.000, 0.000, 0.000], [0.500, 0.500, 0.500], [0.250, 0.250, 0.250], [0.750, 0.750, 0.750]], "ef_ev_per_atom": -0.384, "final_energy_ev_per_fu": -13.5, "space_group": "F-43m (216)", "crystal_system": "cubic"}